Below is Li2TiCr3O8 after structural relaxation, with properties calculated at the GGA+U level.

a b c (Å): 5.880 5.939 5.929
angles (deg): 118.27 90.00 119.68
Each line ends with the local moment (μB).
Atoms (fractional coordinates):
O 0.759 0.028 0.797  -0.06
O 0.729 0.458 0.213  -0.02
O 0.227 0.454 0.213  -0.02
Cr 0.500 0.000 0.000  2.21
O 0.269 0.028 0.797  -0.06
O 0.773 0.546 0.787  -0.02
O 0.271 0.542 0.787  -0.02
O 0.731 0.972 0.203  -0.06
Ti 0.000 0.000 0.000  0.03
Cr 0.500 0.500 0.000  2.98
Cr 0.000 0.500 0.000  2.98
Li 0.000 0.500 0.500  0.00
Li 0.500 0.500 0.500  0.00
O 0.241 0.972 0.203  -0.06

Values from the calculation:
- Size of the total moment: 8.00 μB/cell
- Polymorph energy (0 for the lowest one): 62 meV/atom
- DFT total energy: -7.398 eV/atom